The following is a DFT calculation (PBE) of crystalline ZrRh at its relaxed geometry.

Summary:
As for the space-group type: No. 187. As for the total energy: -8.38 eV per atom. The formation energy comes out at -0.43 eV/atom.

The structure in extended XYZ format:
```
2
Lattice="3.2718 0.0000 0.0000 -1.6359 2.8335 0.0000 0.0000 0.0000 4.0496" Properties=species:S:1:pos:R:3 pbc="T T T"
Zr 0.0000 0.0000 0.0000
Rh 1.6359 0.9445 2.0248
```